! PBE GaCo2Si2, relaxed; values from VASP
! Space group: No. 127
! Fermi-level density of states (states/eV/cell): 5.68
! E_tot (eV/atom): -5.875
&SYSTEM
  ibrav = 0, nat = 10, ntyp = 3
/
ATOMIC_SPECIES
Ga 69.72 Ga.upf
Co 58.93 Co.upf
Si 28.09 Si.upf
ATOMIC_POSITIONS crystal
Ga 0.000 0.000 0.000
Ga 0.500 0.500 0.000
Co 0.141 0.359 0.000
Co 0.359 0.859 0.000
Co 0.641 0.141 0.000
Co 0.859 0.641 0.000
Si 0.151 0.651 0.500
Si 0.349 0.151 0.500
Si 0.651 0.849 0.500
Si 0.849 0.349 0.500
CELL_PARAMETERS angstrom
6.850 0.000 0.000
0.000 6.850 0.000
0.000 0.000 2.614